Entry i
The following is a PBE calculation of crystalline HfBe3Os at its relaxed geometry, from Alexandria.

Computed properties:
Total magnetic moment in Bohr magnetons per cell: 0.000

extended XYZ file:
```
5
Lattice="-3.0899 -2.7451 -0.1175 1.4234 -1.4480 -3.6019 2.3502 -2.7321 2.0270" Properties=species:S:1:pos:R:3 pbc="T T T"
Hf 0.3418 -3.4626 -0.8462
Os 0.0000 0.0000 0.0000
Be 0.7117 -0.7240 -1.8010
Be 1.1751 -1.3661 1.0135
Be -1.5449 -1.3725 -0.0588
```

Entry ii
The following is a PBE calculation of crystalline HfBe3Os at its relaxed geometry, from Alexandria.

Computed properties:
Total magnetic moment in Bohr magnetons per cell: 2.196

extended XYZ file:
```
5
Lattice="-3.9010 -0.9582 1.6075 1.8266 -1.1408 3.7526 -0.4073 4.0620 1.4331" Properties=species:S:1:pos:R:3 pbc="T T T"
Hf 0.0000 0.0000 0.0000
Os -1.2408 0.9815 3.3966
Be 0.9133 -0.5704 1.8763
Be -0.2036 2.0310 0.7165
Be -1.9505 -0.4791 0.8037
```

Which of them is most stable? Easy: entry i.

Entry i
The following is a PBE calculation of crystalline HfBeOs at its relaxed geometry, from Alexandria.

Computed properties:
Total magnetic moment in Bohr magnetons per cell: 0.000

extended XYZ file:
```
6
Lattice="4.3080 0.0000 2.4188 1.5762 4.1302 2.2385 0.0511 -0.0402 4.9548" Properties=species:S:1:pos:R:3 pbc="T T T"
Hf 4.3798 1.5337 4.8139
Hf 1.5555 2.5564 4.7983
Be 0.0000 0.0000 0.0000
Be 2.1540 0.0000 1.2094
Os 2.9421 2.0651 2.3287
Os 2.1795 -0.0201 3.6868
```

Entry ii
The following is a PBE calculation of crystalline HfBeOs at its relaxed geometry, from Alexandria.

Computed properties:
Total magnetic moment in Bohr magnetons per cell: 0.000

extended XYZ file:
```
18
Lattice="-3.0628 -0.8861 0.7043 1.8734 -6.4926 -0.0211 2.4415 0.6672 11.4562" Properties=species:S:1:pos:R:3 pbc="T T T"
Hf 2.8113 -1.0911 10.8527
Hf 1.5036 -4.7344 0.5824
Hf 1.8454 -1.3550 6.3204
Hf 2.4694 -4.4704 5.1147
Hf 0.8992 -0.8343 2.8608
Hf 3.4156 -4.9911 8.5743
Be -1.2197 -0.7265 1.3510
Be 2.4718 -5.9850 10.7884
Be -0.4252 -0.5094 5.0792
Be 1.6772 -6.2021 7.0602
Be 1.6365 -3.3894 2.8525
Be 2.6784 -2.4360 8.5826
Os -0.4503 -3.0541 1.7688
Os 1.7023 -3.6574 10.3706
Os 0.1629 -2.8866 4.6461
Os 1.0891 -3.8249 7.4933
Os 0.5851 -5.4960 3.1992
Os 0.6670 -1.2155 8.9402
```

Entry iii
The following is a PBE calculation of crystalline HfBeOs at its relaxed geometry, from Alexandria.

Computed properties:
Total magnetic moment in Bohr magnetons per cell: 0.000

extended XYZ file:
```
3
Lattice="-1.5871 1.0430 -2.5291 1.7915 -1.8136 -1.8721 -3.0005 -2.9396 2.6482" Properties=species:S:1:pos:R:3 pbc="T T T"
Hf -2.4967 -3.3667 -1.7993
Os -1.4990 -1.7197 0.2315
Be -0.7270 -1.3366 -2.0726
```

Which of them is most stable? Easy: entry ii.

Entry i
The following is a PBE calculation of crystalline HfBe2Os at its relaxed geometry, from Alexandria.

Computed properties:
Total magnetic moment in Bohr magnetons per cell: 0.000

extended XYZ file:
```
4
Lattice="2.4366 -3.2740 -0.7893 -0.9364 -3.7211 1.5987 -1.3532 -3.0476 -2.4819" Properties=species:S:1:pos:R:3 pbc="T T T"
Hf 0.0000 0.0000 0.0000
Os 0.0735 -5.0213 -0.8362
Be 0.0367 -2.5107 -0.4181
Be 0.1102 -7.5320 -1.2543
```

Entry ii
The following is a PBE calculation of crystalline HfBe2Os at its relaxed geometry, from Alexandria.

Computed properties:
Total magnetic moment in Bohr magnetons per cell: 0.000

extended XYZ file:
```
8
Lattice="-0.1902 2.3305 -3.0990 -1.8426 -2.7843 -1.9808 -8.2219 2.6746 0.0844" Properties=species:S:1:pos:R:3 pbc="T T T"
Hf -1.0164 -0.2269 -2.5399
Hf -5.5404 -0.1683 -2.2181
Os 0.0000 0.0000 0.0000
Os -4.7143 2.3891 -2.7772
Be -2.4410 2.2221 -2.7550
Be -3.3848 1.1053 -4.1116
Be -6.5769 2.3673 -1.4635
Be -6.4543 3.8616 -2.7789
```

Which of them is most stable? Easy: entry i.

Entry i
The following is a PBE calculation of crystalline HfBePS2 at its relaxed geometry, from Alexandria.

Computed properties:
Total magnetic moment in Bohr magnetons per cell: 0.000

extended XYZ file:
```
5
Lattice="4.3068 0.0000 0.0000 0.0000 4.3068 0.0000 0.0000 0.0000 4.2850" Properties=species:S:1:pos:R:3 pbc="T T T"
P 0.0000 0.0000 2.1425
S 0.0000 2.1534 0.0000
S 2.1534 0.0000 0.0000
Hf 2.1534 2.1534 2.1425
Be 0.0000 0.0000 0.0000
```

Entry ii
The following is a PBE calculation of crystalline HfBePS2 at its relaxed geometry, from Alexandria.

Computed properties:
Total magnetic moment in Bohr magnetons per cell: 0.000

extended XYZ file:
```
5
Lattice="-2.5676 3.6093 1.9820 1.6191 -1.2627 4.3968 3.9961 3.1536 -0.5659" Properties=species:S:1:pos:R:3 pbc="T T T"
P 1.9981 1.5768 -0.2829
S 0.8095 -0.6313 2.1984
S -1.2838 1.8046 0.9910
Hf 0.0000 0.0000 0.0000
Be 1.5238 2.7501 2.9065
```

Which of them is most stable? Easy: entry i.